Here is a relaxed structure of Co3Re3Ni2 from the Open Quantum Materials Database. Energies are from PBE.

Calculated values
Crystal system   hexagonal
Excess energy over the best structure of this formula in the dataset   41 meV per atom

Cell: 5.2299 5.2299 4.1308 Å, 90.00 90.00 120.00°
Space group P-6m2 (No. 187)
Asymmetric unit:
Co: 0.1708 0.3416 0.0000 x3
Re: 0.3318 0.1659 0.5000 x3
Ni: 0.3333 0.6667 0.5000 x1
Ni: 0.6667 0.3333 0.0000 x1


Here is a relaxed structure of Co3Re3Ni2 from the Open Quantum Materials Database. Energies are from PBE.

Calculated values
Crystal system   monoclinic
Excess energy over the best structure of this formula in the dataset   0 meV per atom

Cell: 5.1685 4.1523 5.1751 Å, 90.00 119.80 90.00°
Space group Pm (No. 6)
Asymmetric unit:
Co: 0.0000 0.0000 0.0000 x1
Co: 0.1635 0.5000 0.8268 x1
Co: 0.6628 0.5000 0.3180 x1
Re: 0.4921 0.0000 0.4875 x1
Re: 0.6671 0.5000 0.8331 x1
Re: 0.9971 0.0000 0.5031 x1
Ni: 0.1553 0.5000 0.3185 x1
Ni: 0.4940 0.0000 0.9980 x1


Here is a relaxed structure of Co3Re3Ni2 from the Open Quantum Materials Database. Energies are from PBE.

Calculated values
Crystal system   orthorhombic
Excess energy over the best structure of this formula in the dataset   25 meV per atom

Cell: 4.1647 5.2294 9.0391 Å, 90.00 90.00 90.00°
Space group Amm2 (No. 38)
Asymmetric unit:
Co: 0.0000 0.0000 0.0000 x2
Co: 0.5000 0.2481 0.0798 x4
Re: 0.0000 0.2471 0.7450 x4
Re: 0.5000 0.0000 0.3396 x2
Ni: 0.0000 0.0000 0.5055 x2
Ni: 0.5000 0.0000 0.8394 x2


Here is a relaxed structure of CoReNi6 from the Open Quantum Materials Database. Energies are from PBE.

Calculated values
Crystal system   hexagonal
E   -6.569 eV/atom

Cell: 5.0034 5.0034 4.1112 Å, 90.00 90.00 120.00°
Space group P-6m2 (No. 187)
Asymmetric unit:
Co: 0.0000 0.0000 0.0000 x1
Re: 0.3333 0.6667 0.5000 x1
Ni: 0.0003 0.5002 0.0000 x3
Ni: 0.3301 0.1650 0.5000 x3


Here is a relaxed structure of CoReNiSb from the Open Quantum Materials Database. Energies are from PBE.

Calculated values
Crystal system   cubic
Excess energy over the best structure of this formula in the dataset   0 meV per atom

Cell: 6.0953 6.0953 6.0953 Å, 90.00 90.00 90.00°
Space group F-43m (No. 216)
Asymmetric unit:
Co: 0.0000 0.0000 0.0000 x4
Re: 0.0000 0.0000 0.5000 x4
Ni: 0.2500 0.2500 0.2500 x4
Sb: 0.2500 0.2500 0.7500 x4


Here is a relaxed structure of CoReNiSn from the Open Quantum Materials Database. Energies are from PBE.

Calculated values
Crystal system   cubic
Excess energy over the best structure of this formula in the dataset   0 meV per atom

Cell: 6.0634 6.0634 6.0634 Å, 90.00 90.00 90.00°
Space group F-43m (No. 216)
Asymmetric unit:
Co: 0.0000 0.0000 0.0000 x4
Re: 0.2500 0.2500 0.2500 x4
Ni: 0.0000 0.0000 0.5000 x4
Sn: 0.2500 0.2500 0.7500 x4